(1)
Density functional theory data (PBE) for crystalline Pr5NdTm2 at its relaxed geometry.

Relative energy among the computed polymorphs in eV per formula unit: 0.00
Symmetry: Pbam, No. 55
DFT formation energy in eV/atom: 0.010
E_tot in eV per atom: -4.691

abc: 7.2996 14.6002 5.1571
angles: 90.00 90.00 90.00
Last column: nearest neighbours and their distance in Å.
Positions (direct):
1 Pr 0.0000 0.0000 0.0000  4 Tm 3.64, 6 Pr 3.65, 2 Nd 3.65
2 Pr 0.0005 0.2503 0.0000  1 Nd 3.65, 7 Pr 3.65, 4 Tm 3.65
3 Pr 0.2493 0.6248 0.5000  4 Tm 3.64-3.66, 2 Nd 3.64, 6 Pr 3.65
4 Pr 0.2507 0.1248 0.5000  4 Tm 3.64-3.66, 2 Nd 3.64, 6 Pr 3.65
5 Pr 0.4995 0.7503 0.0000  1 Nd 3.65, 7 Pr 3.65, 4 Tm 3.65
6 Pr 0.5000 0.5000 0.0000  4 Tm 3.64, 6 Pr 3.65, 2 Nd 3.65
7 Pr 0.5005 0.2497 0.0000  1 Nd 3.65, 7 Pr 3.65, 4 Tm 3.65
8 Pr 0.7493 0.8752 0.5000  4 Tm 3.64-3.66, 2 Nd 3.64, 6 Pr 3.65
9 Pr 0.7507 0.3752 0.5000  4 Tm 3.64-3.66, 2 Nd 3.64, 6 Pr 3.65
10 Pr 0.9995 0.7497 0.0000  1 Nd 3.65, 7 Pr 3.65, 4 Tm 3.65
11 Nd 0.0000 0.5000 0.0000  8 Pr 3.64-3.65, 4 Tm 3.65
12 Nd 0.5000 0.0000 0.0000  8 Pr 3.64-3.65, 4 Tm 3.65
13 Tm 0.2504 0.3753 0.5000  10 Pr 3.64-3.66, 2 Nd 3.65
14 Tm 0.2496 0.8753 0.5000  10 Pr 3.64-3.66, 2 Nd 3.65
15 Tm 0.7504 0.1247 0.5000  10 Pr 3.64-3.66, 2 Nd 3.65
16 Tm 0.7496 0.6247 0.5000  10 Pr 3.64-3.66, 2 Nd 3.65

(2)
Density functional theory data (PBE) for crystalline KInSiS4 at its relaxed geometry.

Symmetry: Cmcm, No. 63
Formation energy from raw total energies in eV/atom: -0.808
E_tot in eV per atom: -4.490

abc: 7.5440 7.5440 7.4496
angles: 90.00 90.00 111.05
Last column: nearest neighbours and their distance in Å.
Positions (direct):
1 K 0.0000 0.0000 0.0000  6 S 3.20-3.24
2 K 0.0000 0.0000 0.5000  6 S 3.20-3.24
3 In 0.3753 0.6247 0.7500  4 S 2.50-2.51
4 In 0.6247 0.3753 0.2500  4 S 2.50-2.51
5 Si 0.3680 0.6320 0.2500  4 S 2.15
6 Si 0.6320 0.3680 0.7500  4 S 2.15
7 S 0.2600 0.7400 0.0246  1 Si 2.15
8 S 0.2600 0.7400 0.4754  1 Si 2.15
9 S 0.2774 0.3276 0.2500  1 Si 2.15
10 S 0.3276 0.2774 0.7500  1 Si 2.15
11 S 0.6724 0.7226 0.2500  1 Si 2.15
12 S 0.7226 0.6724 0.7500  1 Si 2.15
13 S 0.7400 0.2600 0.5246  1 Si 2.15
14 S 0.7400 0.2600 0.9754  1 Si 2.15

(3)
Density functional theory data (PBE) for crystalline Sm7Ge2Te2 at its relaxed geometry.

Symmetry: Cmmm, No. 65
Formation energy from raw total energies in eV/atom: -0.448
E_tot in eV per atom: -4.862

abc: 7.0917 7.0917 7.1272
angles: 90.00 90.00 100.93
Last column: nearest neighbours and their distance in Å.
Positions (direct):
1 Sm 0.0000 0.0000 0.0000  2 Te 3.04
2 Sm 0.0000 0.5000 0.2802  2 Te 3.03, 1 Sm 3.13, 2 Ge 3.17
3 Sm 0.0000 0.5000 0.7198  2 Te 3.03, 1 Sm 3.13, 2 Ge 3.17
4 Sm 0.5000 0.0000 0.2802  2 Te 3.03, 1 Sm 3.13, 2 Ge 3.17
5 Sm 0.5000 0.0000 0.7198  2 Te 3.03, 1 Sm 3.13, 2 Ge 3.17
6 Sm 0.5000 0.5000 0.2659  2 Te 3.08, 2 Ge 3.12, 1 Sm 3.34
7 Sm 0.5000 0.5000 0.7341  2 Te 3.08, 2 Ge 3.12, 1 Sm 3.34
8 Ge 0.2084 0.2084 0.5000  6 Sm 3.12-3.17
9 Ge 0.7916 0.7916 0.5000  6 Sm 3.12-3.17
10 Te 0.2783 0.7217 0.0000  7 Sm 3.03-3.08
11 Te 0.7217 0.2783 0.0000  7 Sm 3.03-3.08

(4)
Density functional theory data (PBE) for crystalline Ba2Cd3Pd at its relaxed geometry.

Symmetry: Pmm2, No. 25
DFT formation energy in eV/atom: -0.398
E_tot in eV per atom: -2.362

abc: 4.5175 4.9990 8.5769
angles: 90.00 90.00 90.00
Last column: nearest neighbours and their distance in Å.
Positions (direct):
1 Ba 0.0000 0.0000 0.0000  2 Pd 3.44, 8 Cd 3.60-3.76
2 Ba 0.0000 0.5000 0.4596  8 Cd 3.49-3.73, 4 Pd 3.63
3 Cd 0.5000 0.0000 0.6286  1 Pd 2.80, 2 Cd 2.92
4 Cd 0.5000 0.5000 0.1494  2 Pd 2.82, 1 Cd 2.95
5 Cd 0.5000 0.5000 0.8053  3 Cd 2.92-2.95
6 Pd 0.5000 0.0000 0.3024  3 Cd 2.80-2.82